No. 1
Entry from Alexandria via LeMat-Bulk: crystalline Tm2Zn2BRh4 at its relaxed geometry (PBE). Values from VASP.

Structure (Quantum ESPRESSO input):
```
&SYSTEM
  ibrav = 0, nat = 9, ntyp = 4
/
ATOMIC_SPECIES
Tm 168.93 Tm.upf
Zn 65.41 Zn.upf
B 10.81 B.upf
Rh 102.91 Rh.upf
CELL_PARAMETERS angstrom
5.7335 0.1017 0.1468
-2.6629 5.0786 -0.1468
-2.6629 -1.9217 4.7032
ATOMIC_POSITIONS angstrom
Tm 0.2038 3.3793 1.1391
Tm 0.2038 -0.1208 3.5641
Zn -3.7679 2.2334 3.2235
Zn -1.5580 0.9235 1.3329
B 0.0000 0.0000 0.0000
Rh -2.6629 3.3535 1.0484
Rh -1.1057 2.4305 3.5080
Rh -2.6629 -0.1967 3.5080
Rh 1.5133 0.8281 1.1952
```

Results
- space-group type = I4/mmm (139)
- formation enthalpy at 0 K (kJ/mol of formula units) = -635

=====

No. 2
Entry from Alexandria via LeMat-Bulk: crystalline Cs2BaH6Pd at its relaxed geometry (PBE). Values from VASP.

Structure (Quantum ESPRESSO input):
```
&SYSTEM
  ibrav = 0, nat = 10, ntyp = 4
/
ATOMIC_SPECIES
Cs 132.91 Cs.upf
Ba 137.33 Ba.upf
H 1.01 H.upf
Pd 106.42 Pd.upf
CELL_PARAMETERS angstrom
6.7769 0.0000 0.0000
0.0000 6.3958 0.0000
0.0000 -3.1979 5.5389
ATOMIC_POSITIONS angstrom
Cs 0.9670 0.0000 3.6926
Cs 5.8098 3.1979 1.8463
Ba 3.3884 0.0000 0.0000
H 5.7616 0.0000 1.3618
H 5.7616 -2.0185 4.8580
H 5.7616 2.0185 4.8580
H 1.0152 5.2164 0.6809
H 1.0152 1.1794 0.6809
H 1.0152 3.1979 4.1771
Pd 0.0000 0.0000 0.0000
```

Results
- space-group type = P-3m1 (164)

=====

Calculated DFT total energy, -6.017, -3.085 eV/atom (same order as the records).